ThF2 | the Open Quantum Materials Database | GGA-PBE | optimized geometry; spin magnetization = 0.2 μB per cell; E_tot = -37.22 eV for the cell shown
1.0
0.000 5.133 5.133
5.133 0.000 5.133
5.133 5.133 0.000
Th F
2 4
direct
0.125 0.125 0.125 Th
0.875 0.875 0.875 Th
0.000 0.000 0.000 F
0.000 0.000 0.500 F
0.000 0.500 0.000 F
0.500 0.000 0.000 F

ThF | the Open Quantum Materials Database | GGA-PBE | optimized geometry; polymorph energy (0 for the lowest one) = 0.000 eV/atom; spin magnetization = 0.0 μB per cell; E_tot = -53.21 eV for the cell shown
1.0
5.651 0.000 0.000
0.000 5.651 0.000
0.000 0.000 5.651
Th F
4 4
direct
0.000 0.000 0.000 Th
0.000 0.500 0.500 Th
0.500 0.000 0.500 Th
0.500 0.500 0.000 Th
0.250 0.250 0.250 F
0.250 0.750 0.750 F
0.750 0.250 0.750 F
0.750 0.750 0.250 F

ThTl3F7 | the Open Quantum Materials Database | GGA-PBE | optimized geometry; spin magnetization = 0.0 μB per cell; E_tot = -235.40 eV for the cell shown
1.0
4.744 -9.289 0.000
4.744 9.289 0.000
0.000 0.000 8.338
Th Tl F
4 12 28
direct
0.109 0.891 0.501 Th
0.109 0.891 0.999 Th
0.891 0.109 0.001 Th
0.891 0.109 0.499 Th
0.013 0.510 0.750 Tl
0.303 0.335 0.750 Tl
0.335 0.303 0.250 Tl
0.361 0.639 0.044 Tl
0.361 0.639 0.456 Tl
0.490 0.987 0.750 Tl
0.510 0.013 0.250 Tl
0.639 0.361 0.544 Tl
0.639 0.361 0.956 Tl
0.665 0.697 0.750 Tl
0.697 0.665 0.250 Tl
0.987 0.490 0.250 Tl
0.026 0.238 0.250 F
0.047 0.953 0.250 F
0.092 0.369 0.555 F
0.092 0.369 0.945 F
0.137 0.137 0.000 F
0.137 0.137 0.500 F
0.180 0.820 0.250 F
0.227 0.773 0.568 F
0.227 0.773 0.932 F
0.238 0.026 0.750 F
0.364 0.636 0.750 F
0.369 0.092 0.055 F
0.369 0.092 0.445 F
0.500 0.500 0.000 F
0.500 0.500 0.500 F
0.631 0.908 0.555 F
0.631 0.908 0.945 F
0.636 0.364 0.250 F
0.762 0.974 0.250 F
0.773 0.227 0.068 F
0.773 0.227 0.432 F
0.820 0.180 0.750 F
0.863 0.863 0.000 F
0.863 0.863 0.500 F
0.908 0.631 0.055 F
0.908 0.631 0.445 F
0.953 0.047 0.750 F
0.974 0.762 0.750 F

ThTlF5 | the Open Quantum Materials Database | GGA-PBE | optimized geometry; spin magnetization = 0.0 μB per cell; E_tot = -173.72 eV for the cell shown
1.0
7.706 0.000 0.000
0.000 7.045 0.000
-4.134 0.000 7.837
Th Tl F
4 4 20
direct
0.088 0.155 0.363 Th
0.088 0.345 0.863 Th
0.912 0.655 0.137 Th
0.912 0.845 0.637 Th
0.446 0.596 0.669 Tl
0.446 0.904 0.169 Tl
0.554 0.096 0.831 Tl
0.554 0.404 0.331 Tl
0.146 0.203 0.127 F
0.146 0.297 0.627 F
0.169 0.017 0.861 F
0.169 0.483 0.361 F
0.175 0.583 0.074 F
0.175 0.917 0.574 F
0.178 0.639 0.785 F
0.178 0.861 0.285 F
0.414 0.185 0.496 F
0.414 0.315 0.996 F
0.586 0.685 0.004 F
0.586 0.815 0.504 F
0.822 0.139 0.715 F
0.822 0.361 0.215 F
0.825 0.083 0.426 F
0.825 0.417 0.926 F
0.831 0.517 0.639 F
0.831 0.983 0.139 F
0.854 0.703 0.373 F
0.854 0.797 0.873 F

Tl3ZnF6 | the Open Quantum Materials Database | GGA-PBE | optimized geometry; E_tot = -38.28 eV for the cell shown
1.0
5.937 0.000 0.000
2.959 5.156 0.000
0.018 3.339 5.146
Tl Zn F
3 1 6
direct
0.000 0.000 0.000 Tl
0.252 0.502 0.747 Tl
0.748 0.498 0.253 Tl
0.500 0.000 0.500 Zn
0.229 0.985 0.324 F
0.237 0.463 0.313 F
0.336 0.953 0.790 F
0.664 0.047 0.210 F
0.763 0.537 0.687 F
0.771 0.015 0.676 F

Tl2ZnF4 | the Open Quantum Materials Database | GGA-PBE | optimized geometry; E_tot = -54.93 eV for the cell shown
1.0
4.065 0.000 0.000
0.000 4.065 0.000
0.000 0.000 13.667
Tl Zn F
4 2 8
direct
0.000 0.000 0.151 Tl
0.000 0.000 0.849 Tl
0.500 0.500 0.349 Tl
0.500 0.500 0.651 Tl
0.000 0.000 0.500 Zn
0.500 0.500 0.000 Zn
0.000 0.000 0.352 F
0.000 0.000 0.648 F
0.000 0.500 0.000 F
0.000 0.500 0.500 F
0.500 0.000 0.000 F
0.500 0.000 0.500 F
0.500 0.500 0.148 F
0.500 0.500 0.852 F

ZrTl2F6 | the Open Quantum Materials Database | GGA-PBE | optimized geometry; spin magnetization = 0.0 μB per cell; E_tot = -100.76 eV for the cell shown
1.0
5.512 0.000 0.000
0.000 5.512 0.000
0.000 0.000 11.741
Zr Tl F
2 4 12
direct
0.000 0.000 0.000 Zr
0.500 0.500 0.500 Zr
0.000 0.000 0.332 Tl
0.000 0.000 0.668 Tl
0.500 0.500 0.168 Tl
0.500 0.500 0.832 Tl
0.177 0.177 0.127 F
0.177 0.177 0.873 F
0.239 0.239 0.500 F
0.261 0.739 0.000 F
0.323 0.677 0.373 F
0.323 0.677 0.627 F
0.677 0.323 0.373 F
0.677 0.323 0.627 F
0.739 0.261 0.000 F
0.761 0.761 0.500 F
0.823 0.823 0.127 F
0.823 0.823 0.873 F

Zr3TlF15 | the Open Quantum Materials Database | GGA-PBE | optimized geometry; spin magnetization = 0.0 μB per cell; E_tot = -235.18 eV for the cell shown
1.0
5.992 3.460 3.701
-5.992 3.460 3.701
0.000 -6.919 3.701
Zr Tl F
6 2 30
direct
0.183 0.750 0.317 Zr
0.250 0.683 0.817 Zr
0.317 0.183 0.750 Zr
0.683 0.817 0.250 Zr
0.750 0.317 0.183 Zr
0.817 0.250 0.683 Zr
0.250 0.250 0.250 Tl
0.750 0.750 0.750 Tl
0.031 0.469 0.750 F
0.033 0.810 0.781 F
0.043 0.145 0.663 F
0.145 0.663 0.043 F
0.163 0.645 0.543 F
0.190 0.219 0.967 F
0.219 0.967 0.190 F
0.250 0.969 0.531 F
0.281 0.310 0.533 F
0.310 0.533 0.281 F
0.337 0.957 0.855 F
0.355 0.457 0.837 F
0.457 0.837 0.355 F
0.467 0.719 0.690 F
0.469 0.750 0.031 F
0.531 0.250 0.969 F
0.533 0.281 0.310 F
0.543 0.163 0.645 F
0.645 0.543 0.163 F
0.663 0.043 0.145 F
0.690 0.467 0.719 F
0.719 0.690 0.467 F
0.750 0.031 0.469 F
0.781 0.033 0.810 F
0.810 0.781 0.033 F
0.837 0.355 0.457 F
0.855 0.337 0.957 F
0.957 0.855 0.337 F
0.967 0.190 0.219 F
0.969 0.531 0.250 F

TmF2 | the Open Quantum Materials Database | GGA-PBE | optimized geometry; spin magnetization = 1.4 μB per cell; E_tot = -35.75 eV for the cell shown
1.0
4.872 0.000 0.000
0.000 4.872 0.000
0.000 0.000 3.823
Tm F
2 4
direct
0.000 0.000 0.000 Tm
0.500 0.500 0.500 Tm
0.182 0.182 0.500 F
0.318 0.682 0.000 F
0.682 0.318 0.000 F
0.818 0.818 0.500 F

TmF3 | the Open Quantum Materials Database | GGA-PBE | optimized geometry; spin magnetization = 0.0 μB per cell; E_tot = -52.34 eV for the cell shown
1.0
2.492 1.439 4.867
-2.492 1.439 4.867
0.000 -2.877 4.867
Tm F
2 6
direct
0.000 0.000 0.000 Tm
0.500 0.500 0.500 Tm
0.063 0.750 0.437 F
0.250 0.563 0.937 F
0.437 0.063 0.750 F
0.563 0.937 0.250 F
0.750 0.437 0.063 F
0.937 0.250 0.563 F

Tm3F8 | the Open Quantum Materials Database | GGA-PBE | optimized geometry; spin magnetization = 0.7 μB per cell; E_tot = -69.72 eV for the cell shown
1.0
3.279 -4.961 0.000
3.279 4.961 0.000
-0.967 0.000 3.905
Tm F
3 8
direct
0.000 0.000 0.000 Tm
0.319 0.681 0.500 Tm
0.681 0.319 0.500 Tm
0.064 0.328 0.610 F
0.231 0.769 0.000 F
0.328 0.064 0.610 F
0.365 0.365 0.193 F
0.635 0.635 0.807 F
0.672 0.936 0.390 F
0.769 0.231 0.000 F
0.936 0.672 0.390 F

TmF2 | the Open Quantum Materials Database | GGA-PBE | optimized geometry; spin magnetization = 3.8 μB per cell; E_tot = -71.03 eV for the cell shown
1.0
3.993 0.000 0.000
0.000 4.659 0.000
0.000 0.000 8.085
Tm F
4 8
direct
0.139 0.044 0.114 Tm
0.361 0.956 0.614 Tm
0.639 0.456 0.886 Tm
0.861 0.544 0.386 Tm
0.137 0.185 0.830 F
0.143 0.568 0.023 F
0.357 0.432 0.523 F
0.363 0.815 0.330 F
0.637 0.315 0.170 F
0.643 0.932 0.977 F
0.857 0.068 0.477 F
0.863 0.685 0.670 F

Tm2F | the Open Quantum Materials Database | GGA-PBE | optimized geometry; spin magnetization = 0.0 μB per cell; E_tot = -21.18 eV for the cell shown
1.0
0.000 4.367 4.367
4.367 0.000 4.367
4.367 4.367 0.000
Tm F
4 2
direct
0.000 0.000 0.000 Tm
0.000 0.000 0.500 Tm
0.000 0.500 0.000 Tm
0.500 0.000 0.000 Tm
0.375 0.375 0.375 F
0.625 0.625 0.625 F

TmF4 | the Open Quantum Materials Database | GGA-PBE | optimized geometry; spin magnetization = 0.0 μB per cell; E_tot = -55.48 eV for the cell shown
1.0
2.992 -5.001 0.000
2.992 5.001 0.000
-0.817 0.000 4.706
Tm F
2 8
direct
0.172 0.828 0.000 Tm
0.828 0.172 0.000 Tm
0.094 0.094 0.782 F
0.109 0.530 0.255 F
0.406 0.406 0.578 F
0.470 0.891 0.745 F
0.530 0.109 0.255 F
0.594 0.594 0.422 F
0.891 0.470 0.745 F
0.906 0.906 0.218 F

TmF2 | the Open Quantum Materials Database | GGA-PBE | optimized geometry; spin magnetization = 0.0 μB per cell; E_tot = -35.95 eV for the cell shown
1.0
3.751 0.000 0.000
0.000 4.513 0.000
-2.312 0.000 4.802
Tm F
2 4
direct
0.000 0.000 0.000 Tm
0.000 0.500 0.500 Tm
0.417 0.233 0.856 F
0.417 0.267 0.356 F
0.583 0.733 0.644 F
0.583 0.767 0.144 F

TmF2 | the Open Quantum Materials Database | GGA-PBE | optimized geometry; spin magnetization = 0.0 μB per cell; E_tot = -34.62 eV for the cell shown
1.0
3.046 0.000 0.000
0.000 3.046 0.000
0.000 0.000 7.131
Tm F
2 4
direct
0.000 0.000 0.000 Tm
0.500 0.500 0.500 Tm
0.000 0.000 0.337 F
0.000 0.000 0.663 F
0.500 0.500 0.163 F
0.500 0.500 0.837 F

TmF2 | the Open Quantum Materials Database | GGA-PBE | optimized geometry; spin magnetization = 1.9 μB per cell; E_tot = -26.21 eV for the cell shown
1.0
0.000 3.308 3.308
3.308 0.000 3.308
3.308 3.308 0.000
Tm F
2 4
direct
0.125 0.125 0.125 Tm
0.875 0.875 0.875 Tm
0.000 0.500 0.500 F
0.500 0.000 0.500 F
0.500 0.500 0.000 F
0.500 0.500 0.500 F

U2F9 | the Open Quantum Materials Database | GGA-PBE | optimized geometry; spin magnetization = 6.0 μB per cell; E_tot = -156.16 eV for the cell shown
1.0
-4.139 4.139 4.139
4.139 -4.139 4.139
4.139 4.139 -4.139
U F
4 18
direct
0.000 0.000 0.379 U
0.000 0.379 0.000 U
0.379 0.000 0.000 U
0.621 0.621 0.621 U
0.000 0.231 0.231 F
0.000 0.247 0.652 F
0.000 0.652 0.247 F
0.000 0.769 0.769 F
0.231 0.000 0.231 F
0.231 0.231 0.000 F
0.247 0.000 0.652 F
0.247 0.652 0.000 F
0.348 0.348 0.595 F
0.348 0.595 0.348 F
0.405 0.753 0.753 F
0.595 0.348 0.348 F
0.652 0.000 0.247 F
0.652 0.247 0.000 F
0.753 0.405 0.753 F
0.753 0.753 0.405 F
0.769 0.000 0.769 F
0.769 0.769 0.000 F

UF6 | the Open Quantum Materials Database | GGA-PBE | optimized geometry; spin magnetization = 0.0 μB per cell; E_tot = -179.66 eV for the cell shown
1.0
8.991 0.000 0.000
0.000 8.157 0.000
0.000 0.000 4.713
U F
4 24
direct
0.128 0.250 0.084 U
0.372 0.750 0.584 U
0.628 0.250 0.416 U
0.872 0.750 0.916 U
0.002 0.250 0.731 F
0.004 0.577 0.748 F
0.004 0.923 0.748 F
0.241 0.576 0.415 F
0.241 0.924 0.415 F
0.242 0.750 0.934 F
0.258 0.250 0.434 F
0.259 0.076 0.915 F
0.259 0.424 0.915 F
0.496 0.077 0.248 F
0.496 0.423 0.248 F
0.498 0.750 0.231 F
0.502 0.250 0.769 F
0.504 0.577 0.752 F
0.504 0.923 0.752 F
0.741 0.576 0.085 F
0.741 0.924 0.085 F
0.742 0.750 0.566 F
0.758 0.250 0.066 F
0.759 0.076 0.585 F
0.759 0.424 0.585 F
0.996 0.077 0.252 F
0.996 0.423 0.252 F
0.998 0.750 0.269 F